(one)
Below is an optimized crystal structure of LaNiHgPb2, with properties calculated at the GGA-PBE level.

The structure in extended XYZ format:
```
5
Lattice="5.146 0.000 0.000 0.000 5.146 0.000 0.000 0.000 5.258" Properties=species:S:1:pos:R:3 pbc="T T T"
La 0.000 0.000 0.000
Ni 0.000 0.000 2.629
Hg 2.573 2.573 0.000
Pb 0.000 2.573 2.629
Pb 2.573 0.000 2.629
```

- Fermi-level density of states (states/eV per atom) = 0.526

=====

(two)
Below is an optimized crystal structure of LaNiHgPb2, with properties calculated at the GGA-PBE level.

The structure in extended XYZ format:
```
5
Lattice="5.136 0.000 0.000 0.000 5.136 0.000 0.000 0.000 5.033" Properties=species:S:1:pos:R:3 pbc="T T T"
La 0.000 0.000 0.000
Ni 2.568 2.568 2.516
Hg 2.568 2.568 0.000
Pb 0.000 2.568 2.516
Pb 2.568 0.000 2.516
```

- Fermi-level density of states (states/eV per atom) = 0.811

=====

Which of them is least stable? Easy: (two).